[1]
This record from the Alexandria database describes Ga5Hg12F3 after structural relaxation. The functional is PBE.

* ρ: 8.8 g/cm³
* total energy: -118.2 eV per cell
* spin magnetization: 0.00 μB/f.u.

a b c (Å): 14.0046 14.0046 14.0046
angles (deg): 109.47 109.47 109.47
With the nearest neighbours (Å) after each atom.
Element x y z (fractional)
Hg (0.3840, 0.2602, 0.3258)  1 F 2.64, 2 Ga 2.73-2.85
Hg (0.6160, 0.8762, 0.4418)  1 F 2.64, 2 Ga 2.73-2.85
Hg (0.7602, 0.3258, 0.8840)  1 F 2.64, 2 Ga 2.73-2.85
Hg (0.7602, 0.4344, 0.3762)  1 F 2.64, 2 Ga 2.73-2.85
Hg (0.7398, 0.6160, 0.1742)  1 F 2.64, 2 Ga 2.73-2.85
Hg (0.9344, 0.5582, 0.1742)  1 F 2.64, 2 Ga 2.73-2.85
Hg (0.3258, 0.5656, 0.4418)  1 F 2.64, 2 Ga 2.73-2.85
Hg (0.8258, 0.8840, 0.2602)  1 F 2.64, 2 Ga 2.73-2.85
Hg (0.2398, 0.6742, 0.1160)  1 F 2.64, 2 Ga 2.73-2.85
Hg (0.6742, 0.4344, 0.5582)  1 F 2.64, 2 Ga 2.73-2.85
Hg (0.1160, 0.1742, 0.2398)  1 F 2.64, 2 Ga 2.73-2.85
Hg (0.1742, 0.1160, 0.7398)  1 F 2.64, 2 Ga 2.73-2.85
Hg (0.9418, 0.1160, 0.8762)  1 F 2.64, 2 Ga 2.73-2.85
Hg (0.8762, 0.6160, 0.9418)  1 F 2.64, 2 Ga 2.73-2.85
Hg (0.8840, 0.8258, 0.7602)  1 F 2.64, 2 Ga 2.73-2.85
Hg (0.1742, 0.0582, 0.9344)  1 F 2.64, 2 Ga 2.73-2.85
Hg (0.4344, 0.7602, 0.8762)  1 F 2.64, 2 Ga 2.73-2.85
Hg (0.3258, 0.7602, 0.3840)  1 F 2.64, 2 Ga 2.73-2.85
Hg (0.6742, 0.2398, 0.6160)  1 F 2.64, 2 Ga 2.73-2.85
Hg (0.8762, 0.2602, 0.4344)  1 F 2.64, 2 Ga 2.73-2.85
Hg (0.5656, 0.3258, 0.9418)  1 F 2.64, 2 Ga 2.73-2.85
Hg (0.0582, 0.1742, 0.4344)  1 F 2.64, 2 Ga 2.73-2.85
Hg (0.0656, 0.4418, 0.8258)  1 F 2.64, 2 Ga 2.73-2.85
Hg (0.0582, 0.8840, 0.1238)  1 F 2.64, 2 Ga 2.73-2.85
Hg (0.7398, 0.1238, 0.0656)  1 F 2.64, 2 Ga 2.73-2.85
Hg (0.1160, 0.9418, 0.3762)  1 F 2.64, 2 Ga 2.73-2.85
Hg (0.3762, 0.9344, 0.7602)  1 F 2.64, 2 Ga 2.73-2.85
Hg (0.1238, 0.7398, 0.5656)  1 F 2.64, 2 Ga 2.73-2.85
Hg (0.5656, 0.2398, 0.1238)  1 F 2.64, 2 Ga 2.73-2.85
Hg (0.4344, 0.6742, 0.0582)  1 F 2.64, 2 Ga 2.73-2.85
Hg (0.6238, 0.5582, 0.8840)  1 F 2.64, 2 Ga 2.73-2.85
Hg (0.8840, 0.0582, 0.6238)  1 F 2.64, 2 Ga 2.73-2.85
Hg (0.3762, 0.4418, 0.1160)  1 F 2.64, 2 Ga 2.73-2.85
Hg (0.2602, 0.3840, 0.8258)  1 F 2.64, 2 Ga 2.73-2.85
Hg (0.8258, 0.9418, 0.0656)  1 F 2.64, 2 Ga 2.73-2.85
Hg (0.6238, 0.0656, 0.2398)  1 F 2.64, 2 Ga 2.73-2.85
Hg (0.9344, 0.3762, 0.2602)  1 F 2.64, 2 Ga 2.73-2.85
Hg (0.4418, 0.0656, 0.3258)  1 F 2.64, 2 Ga 2.73-2.85
Hg (0.6160, 0.7398, 0.6742)  1 F 2.64, 2 Ga 2.73-2.85
Hg (0.4418, 0.3762, 0.6160)  1 F 2.64, 2 Ga 2.73-2.85
Hg (0.1238, 0.3840, 0.0582)  1 F 2.64, 2 Ga 2.73-2.85
Hg (0.9418, 0.8258, 0.5656)  1 F 2.64, 2 Ga 2.73-2.85
Hg (0.0656, 0.6238, 0.7398)  1 F 2.64, 2 Ga 2.73-2.85
Hg (0.2398, 0.5656, 0.6238)  1 F 2.64, 2 Ga 2.73-2.85
Hg (0.5582, 0.9344, 0.6742)  1 F 2.64, 2 Ga 2.73-2.85
Hg (0.5582, 0.6238, 0.3840)  1 F 2.64, 2 Ga 2.73-2.85
Hg (0.2602, 0.8762, 0.9344)  1 F 2.64, 2 Ga 2.73-2.85
Hg (0.3840, 0.1238, 0.5582)  1 F 2.64, 2 Ga 2.73-2.85
F (0.7500, 0.8750, 0.6250)  4 Hg 2.64
F (0.2500, 0.6250, 0.8750)  4 Hg 2.64
F (0.8750, 0.1250, 0.2500)  4 Hg 2.64
F (0.8750, 0.7500, 0.1250)  4 Hg 2.64
F (0.1250, 0.8750, 0.7500)  4 Hg 2.64
F (0.7500, 0.3750, 0.1250)  4 Hg 2.64
F (0.6250, 0.3750, 0.7500)  4 Hg 2.64
F (0.3750, 0.7500, 0.6250)  4 Hg 2.64
F (0.1250, 0.2500, 0.8750)  4 Hg 2.64
F (0.2500, 0.1250, 0.3750)  4 Hg 2.64
F (0.6250, 0.2500, 0.3750)  4 Hg 2.64
F (0.3750, 0.6250, 0.2500)  4 Hg 2.64
Ga (0.5000, 0.5000, 0.5000)  6 Hg 2.85
Ga (0.7500, 0.6250, 0.3750)  4 Hg 2.73
Ga (0.5000, 0.0000, 0.5000)  6 Hg 2.85
Ga (0.0000, 0.5000, 0.5000)  6 Hg 2.85
Ga (0.0000, 0.0000, 0.0000)  6 Hg 2.85
Ga (0.0000, 0.0000, 0.5000)  6 Hg 2.85
Ga (0.1250, 0.7500, 0.3750)  4 Hg 2.73
Ga (0.1250, 0.3750, 0.2500)  4 Hg 2.73
Ga (0.2500, 0.3750, 0.6250)  4 Hg 2.73
Ga (0.7500, 0.1250, 0.8750)  4 Hg 2.73
Ga (0.5000, 0.0000, 0.0000)  6 Hg 2.85
Ga (0.3750, 0.1250, 0.7500)  4 Hg 2.73
Ga (0.5000, 0.5000, 0.0000)  6 Hg 2.85
Ga (0.0000, 0.5000, 0.0000)  6 Hg 2.85
Ga (0.2500, 0.8750, 0.1250)  4 Hg 2.73
Ga (0.8750, 0.2500, 0.6250)  4 Hg 2.73
Ga (0.3750, 0.2500, 0.1250)  4 Hg 2.73
Ga (0.6250, 0.8750, 0.2500)  4 Hg 2.73
Ga (0.8750, 0.6250, 0.7500)  4 Hg 2.73
Ga (0.6250, 0.7500, 0.8750)  4 Hg 2.73


[2]
This record from the Alexandria database describes Ga2HgF after structural relaxation. The functional is PBE.

* ρ: 7.9 g/cm³
* distance to the lowest polymorph of the same formula: 78.3 meV per atom
* spin magnetization: 0.00 μB/f.u.

a b c (Å): 4.7379 4.7379 4.7379
angles (deg): 60.00 60.00 60.00
With the nearest neighbours (Å) after each atom.
Element x y z (fractional)
Ga (0.7500, 0.7500, 0.7500)  4 Hg 2.90, 4 F 2.90
Ga (0.2500, 0.2500, 0.2500)  4 Hg 2.90, 4 F 2.90
F (0.0000, 0.0000, 0.0000)  8 Ga 2.90
Hg (0.5000, 0.5000, 0.5000)  8 Ga 2.90


[3]
This record from the Alexandria database describes GaHgF5 after structural relaxation. The functional is PBE.

* ρ: 5.6 g/cm³
* total energy: -27.3 eV per cell
* spin magnetization: 0.00 μB/f.u.

a b c (Å): 3.8912 5.6506 5.6506
angles (deg): 73.30 69.86 69.86
With the nearest neighbours (Å) after each atom.
Element x y z (fractional)
F (0.5000, 0.7850, 0.2150)  1 Ga 1.92
F (0.2691, 0.7309, 0.7309)  1 Ga 1.89
F (0.0000, 0.5000, 0.5000)  2 Ga 1.95
F (0.7309, 0.2691, 0.2691)  1 Ga 1.89
F (0.5000, 0.2150, 0.7850)  1 Ga 1.92
Ga (0.5000, 0.5000, 0.5000)  6 F 1.89-1.95
Hg (0.0000, 0.0000, 0.0000)  6 F 2.20-2.43


[4]
This record from the Alexandria database describes Ga2HgF after structural relaxation. The functional is PBE.

* ρ: 6.7 g/cm³
* distance to the lowest polymorph of the same formula: 0.0 meV per atom
* spin magnetization: 0.00 μB/f.u.

a b c (Å): 4.7666 4.7666 8.5643
angles (deg): 73.84 73.84 90.00
With the nearest neighbours (Å) after each atom.
Element x y z (fractional)
F (0.2500, 0.7500, 0.5000)  4 Ga 2.39
F (0.5000, 0.5000, 0.0000)  4 Ga 2.39
Hg (0.0000, 0.0000, 0.0000)  4 Ga 2.88
Hg (0.7500, 0.2500, 0.5000)  4 Ga 2.88
Ga (0.2394, 0.6250, 0.2500)  2 F 2.39
Ga (0.8750, 0.7606, 0.7500)  2 F 2.39
Ga (0.3750, 0.4894, 0.7500)  2 F 2.39
Ga (0.5106, 0.1250, 0.2500)  2 F 2.39


Number 1 is which compound?
Ga5Hg12F3


What is the spin magnetization in the fourth record?
0.00 μB/f.u.


Look up the ρ of the first one.
8.8 g/cm³